First-principles (PBE-GGA) data for a relaxed structure of Sr2ReNi, as listed in the Alexandria database.

abc: 3.149 3.608 9.052
angles: 90.00 90.00 90.00
Atoms (fractional coordinates):
Ni 0.000 0.000 0.579
Re 0.500 0.500 0.667
Sr 0.000 0.000 0.922
Sr 0.500 0.500 0.333

Results
Magnetization   0.0 Bohr magnetons per cell
Electronic total energy   -4.820 eV/atom

***

First-principles (PBE-GGA) data for a relaxed structure of Sr2ReNi, as listed in the Alexandria database.

abc: 5.249 5.249 5.249
angles: 60.00 60.00 60.00
Atoms (fractional coordinates):
Re 0.500 0.500 0.500
Ni 0.000 0.000 0.000
Sr 0.250 0.250 0.250
Sr 0.750 0.750 0.750

Results
Magnetization   3.0 Bohr magnetons per cell
Electronic total energy   -4.342 eV/atom

***

First-principles (PBE-GGA) data for a relaxed structure of Sr4ReNi, as listed in the Alexandria database.

abc: 6.560 6.560 6.560
angles: 60.00 60.00 60.00
Atoms (fractional coordinates):
Sr 0.877 0.374 0.374
Sr 0.374 0.374 0.877
Sr 0.374 0.877 0.374
Sr 0.374 0.374 0.374
Re 0.000 0.000 0.000
Ni 0.750 0.750 0.750

Results
Magnetization   2.3 Bohr magnetons per cell
Electronic total energy   -2.563 eV/atom

***

First-principles (PBE-GGA) data for a relaxed structure of Sr2Re2Ni, as listed in the Alexandria database.

abc: 6.174 6.174 5.630
angles: 56.75 56.75 90.00
Atoms (fractional coordinates):
Re 0.341 0.341 0.319
Re 0.659 0.659 0.681
Ni 0.000 0.000 0.000
Sr 0.750 0.250 0.500
Sr 0.250 0.750 0.500

Results
Magnetization   2.8 Bohr magnetons per cell
Electronic total energy   -5.546 eV/atom

***

First-principles (PBE-GGA) data for a relaxed structure of Sr2ReNi, as listed in the Alexandria database.

abc: 3.422 3.020 9.307
angles: 70.98 90.00 90.00
Atoms (fractional coordinates):
Ni 0.500 0.250 0.250
Re 0.500 0.750 0.750
Sr 0.000 0.983 0.017
Sr 0.000 0.517 0.483

Results
Magnetization   0.1 Bohr magnetons per cell
Electronic total energy   -4.478 eV/atom

***

First-principles (PBE-GGA) data for a relaxed structure of SrReNi, as listed in the Alexandria database.

abc: 4.568 4.568 4.568
angles: 60.00 60.00 60.00
Atoms (fractional coordinates):
Ni 0.750 0.750 0.750
Re 0.000 0.000 0.000
Sr 0.500 0.500 0.500

Results
Magnetization   3.3 Bohr magnetons per cell
Electronic total energy   -5.376 eV/atom

***

First-principles (PBE-GGA) data for a relaxed structure of SrReNi, as listed in the Alexandria database.

abc: 4.719 4.719 4.719
angles: 60.00 60.00 60.00
Atoms (fractional coordinates):
Ni 0.000 0.000 0.000
Re 0.500 0.500 0.500
Sr 0.750 0.750 0.750

Results
Magnetization   3.4 Bohr magnetons per cell
Electronic total energy   -4.466 eV/atom

***

First-principles (PBE-GGA) data for a relaxed structure of SrReNi3, as listed in the Alexandria database.

abc: 4.592 4.592 4.592
angles: 90.00 90.00 90.00
Atoms (fractional coordinates):
Re 0.500 0.500 0.500
Ni 0.000 0.500 0.000
Ni 0.000 0.000 0.500
Ni 0.500 0.000 0.000
Sr 0.000 0.000 0.000

Results
Magnetization   4.3 Bohr magnetons per cell
Electronic total energy   -3.948 eV/atom

***

First-principles (PBE-GGA) data for a relaxed structure of SrReNi, as listed in the Alexandria database.

abc: 3.032 3.032 7.051
angles: 90.00 90.00 120.00
Atoms (fractional coordinates):
Ni 0.000 0.000 0.040
Re 0.667 0.333 0.291
Sr 0.333 0.667 0.669

Results
Magnetization   0.0 Bohr magnetons per cell
Electronic total energy   -5.613 eV/atom

***

First-principles (PBE-GGA) data for a relaxed structure of Sr2ReNi2, as listed in the Alexandria database.

abc: 6.519 6.519 4.911
angles: 90.00 90.00 90.00
Atoms (fractional coordinates):
Re 0.000 0.000 0.000
Re 0.500 0.500 0.000
Ni 0.362 0.862 0.000
Ni 0.862 0.638 0.000
Ni 0.638 0.138 0.000
Ni 0.138 0.362 0.000
Sr 0.181 0.681 0.500
Sr 0.681 0.819 0.500
Sr 0.819 0.319 0.500
Sr 0.319 0.181 0.500

Results
Magnetization   0.0 Bohr magnetons per cell
Electronic total energy   -5.030 eV/atom

***

First-principles (PBE-GGA) data for a relaxed structure of SrReNi3, as listed in the Alexandria database.

abc: 4.636 4.636 4.636
angles: 90.00 90.00 90.00
Atoms (fractional coordinates):
Re 0.000 0.000 0.000
Ni 0.000 0.500 0.000
Ni 0.000 0.000 0.500
Ni 0.500 0.000 0.000
Sr 0.500 0.500 0.500

Results
Magnetization   0.0 Bohr magnetons per cell
Electronic total energy   -5.682 eV/atom

***

First-principles (PBE-GGA) data for a relaxed structure of Sr2ReNi, as listed in the Alexandria database.

abc: 8.322 8.322 6.565
angles: 50.67 50.67 90.00
Atoms (fractional coordinates):
Re 0.000 0.000 0.000
Re 0.750 0.250 0.500
Ni 0.500 0.500 0.000
Ni 0.250 0.750 0.500
Sr 0.578 0.125 0.250
Sr 0.172 0.625 0.250
Sr 0.375 0.422 0.750
Sr 0.875 0.828 0.750

Results
Magnetization   5.5 Bohr magnetons per cell
Electronic total energy   -4.200 eV/atom

***

First-principles (PBE-GGA) data for a relaxed structure of SrRe4Ni, as listed in the Alexandria database.

abc: 5.336 5.336 5.336
angles: 60.00 60.00 60.00
Atoms (fractional coordinates):
Sr 0.750 0.750 0.750
Re 0.879 0.374 0.374
Re 0.374 0.374 0.879
Re 0.374 0.879 0.374
Re 0.374 0.374 0.374
Ni 0.000 0.000 0.000

Results
Magnetization   0.0 Bohr magnetons per cell
Electronic total energy   -8.793 eV/atom

***

First-principles (PBE-GGA) data for a relaxed structure of SrReNi, as listed in the Alexandria database.

abc: 6.098 6.098 6.098
angles: 153.51 143.90 45.33
Atoms (fractional coordinates):
Ni 0.954 0.954 0.000
Re 0.382 0.382 0.000
Sr 0.664 0.664 0.000

Results
Magnetization   0.0 Bohr magnetons per cell
Electronic total energy   -6.087 eV/atom

***

First-principles (PBE-GGA) data for a relaxed structure of Sr2ReNi, as listed in the Alexandria database.

abc: 9.692 9.692 9.692
angles: 20.02 20.02 20.02
Atoms (fractional coordinates):
Ni 0.250 0.250 0.250
Re 0.750 0.750 0.750
Sr 0.996 0.996 0.996
Sr 0.504 0.504 0.504

Results
Magnetization   1.0 Bohr magnetons per cell
Electronic total energy   -4.271 eV/atom

***

First-principles (PBE-GGA) data for a relaxed structure of Sr2ReNi, as listed in the Alexandria database.

abc: 3.404 3.404 9.095
angles: 90.00 90.00 97.07
Atoms (fractional coordinates):
Ni 0.000 0.000 0.578
Re 0.500 0.500 0.668
Sr 0.000 0.000 0.920
Sr 0.500 0.500 0.334

Results
Magnetization   0.0 Bohr magnetons per cell
Electronic total energy   -4.821 eV/atom

***

First-principles (PBE-GGA) data for a relaxed structure of Sr2ReNi, as listed in the Alexandria database.

abc: 5.070 5.070 5.070
angles: 60.00 60.00 60.00
Atoms (fractional coordinates):
Ni 0.500 0.500 0.500
Re 0.750 0.750 0.750
Sr 0.000 0.000 0.000
Sr 0.250 0.250 0.250

Results
Magnetization   2.8 Bohr magnetons per cell
Electronic total energy   -4.334 eV/atom

***

First-principles (PBE-GGA) data for a relaxed structure of Sr2ReNi, as listed in the Alexandria database.

abc: 5.635 8.156 2.992
angles: 68.51 89.99 128.78
Atoms (fractional coordinates):
Ni 0.500 0.500 0.000
Re 0.500 0.000 0.500
Sr 0.000 0.000 0.000
Sr 0.000 0.500 0.500

Results
Magnetization   0.1 Bohr magnetons per cell
Electronic total energy   -4.424 eV/atom

***

First-principles (PBE-GGA) data for a relaxed structure of SrReNi, as listed in the Alexandria database.

abc: 6.548 6.548 3.044
angles: 76.56 76.56 26.88
Atoms (fractional coordinates):
Ni 0.968 0.968 0.032
Re 0.368 0.368 0.632
Sr 0.665 0.665 0.335

Results
Magnetization   0.0 Bohr magnetons per cell
Electronic total energy   -6.025 eV/atom

***

First-principles (PBE-GGA) data for a relaxed structure of Sr2ReNi, as listed in the Alexandria database.

abc: 5.406 5.407 3.400
angles: 90.00 90.00 90.00
Atoms (fractional coordinates):
Ni 0.500 0.000 0.500
Re 0.000 0.500 0.500
Sr 0.000 0.000 0.000
Sr 0.500 0.500 0.000

Results
Magnetization   2.5 Bohr magnetons per cell
Electronic total energy   -4.400 eV/atom

***

First-principles (PBE-GGA) data for a relaxed structure of Sr2Re2Ni, as listed in the Alexandria database.

abc: 6.594 6.594 5.158
angles: 90.00 90.00 90.00
Atoms (fractional coordinates):
Re 0.374 0.874 0.000
Re 0.874 0.626 0.000
Re 0.626 0.126 0.000
Re 0.126 0.374 0.000
Ni 0.000 0.000 0.000
Ni 0.500 0.500 0.000
Sr 0.180 0.680 0.500
Sr 0.680 0.820 0.500
Sr 0.820 0.320 0.500
Sr 0.320 0.180 0.500

Results
Magnetization   2.3 Bohr magnetons per cell
Electronic total energy   -6.082 eV/atom

***

First-principles (PBE-GGA) data for a relaxed structure of SrRe2NiW, as listed in the Alexandria database.

abc: 4.740 4.324 4.740
angles: 90.00 90.00 90.00
Atoms (fractional coordinates):
Re 0.000 0.000 0.500
Re 0.500 0.000 0.000
Ni 0.000 0.500 0.000
W 0.500 0.500 0.500
Sr 0.000 0.000 0.000

Results
Magnetization   0.0 Bohr magnetons per cell
Electronic total energy   -5.672 eV/atom

***

First-principles (PBE-GGA) data for a relaxed structure of Sr2YReNi, as listed in the Alexandria database.

abc: 6.015 4.448 6.015
angles: 90.00 90.00 90.00
Atoms (fractional coordinates):
Y 0.000 0.000 0.000
Re 0.500 0.500 0.500
Ni 0.000 0.500 0.000
Sr 0.000 0.000 0.500
Sr 0.500 0.000 0.000

Results
Magnetization   0.1 Bohr magnetons per cell
Electronic total energy   -3.690 eV/atom

***

First-principles (PBE-GGA) data for a relaxed structure of TaRe2Ni, as listed in the Alexandria database.

abc: 2.711 2.711 8.370
angles: 90.00 90.00 105.25
Atoms (fractional coordinates):
Ni 0.500 0.500 0.756
Re 0.000 0.000 0.987
Re 0.500 0.500 0.244
Ta 0.000 0.000 0.513

Results
Magnetization   0.0 Bohr magnetons per cell
Electronic total energy   -10.553 eV/atom

***

First-principles (PBE-GGA) data for a relaxed structure of Ta2ReNi, as listed in the Alexandria database.

abc: 4.591 2.786 4.986
angles: 82.98 90.00 90.00
Atoms (fractional coordinates):
Ni 0.000 0.619 0.464
Re 0.500 0.657 0.784
Ta 0.000 0.988 0.965
Ta 0.500 0.236 0.287

Results
Magnetization   0.0 Bohr magnetons per cell
Electronic total energy   -10.550 eV/atom

***

First-principles (PBE-GGA) data for a relaxed structure of TaReNi2, as listed in the Alexandria database.

abc: 4.302 4.302 4.302
angles: 60.00 60.00 60.00
Atoms (fractional coordinates):
Ni 0.000 0.000 0.000
Ni 0.250 0.250 0.250
Re 0.500 0.500 0.500
Ta 0.750 0.750 0.750

Results
Magnetization   1.1 Bohr magnetons per cell
Electronic total energy   -8.872 eV/atom

***

First-principles (PBE-GGA) data for a relaxed structure of TaRe2Ni, as listed in the Alexandria database.

abc: 2.779 2.779 7.699
angles: 90.00 90.00 90.00
Atoms (fractional coordinates):
Ni 0.500 0.500 0.762
Re 0.000 0.000 0.993
Re 0.500 0.500 0.233
Ta 0.000 0.000 0.512

Results
Magnetization   0.0 Bohr magnetons per cell
Electronic total energy   -10.608 eV/atom

***

First-principles (PBE-GGA) data for a relaxed structure of TaRe2Ni, as listed in the Alexandria database.

abc: 4.490 2.678 5.003
angles: 83.16 90.00 90.00
Atoms (fractional coordinates):
Ni 0.500 0.750 0.750
Re 0.000 0.972 0.994
Re 0.000 0.528 0.506
Ta 0.500 0.250 0.250

Results
Magnetization   0.0 Bohr magnetons per cell
Electronic total energy   -10.594 eV/atom

***

First-principles (PBE-GGA) data for a relaxed structure of TaRe2Ni, as listed in the Alexandria database.

abc: 3.200 3.200 5.791
angles: 90.00 90.00 90.00
Atoms (fractional coordinates):
Ni 0.500 0.500 0.750
Re 0.000 0.000 0.972
Re 0.000 0.000 0.528
Ta 0.500 0.500 0.250

Results
Magnetization   0.0 Bohr magnetons per cell
Electronic total energy   -10.624 eV/atom

***

First-principles (PBE-GGA) data for a relaxed structure of TaReNi2, as listed in the Alexandria database.

abc: 2.713 2.713 7.455
angles: 90.00 90.00 90.00
Atoms (fractional coordinates):
Ni 0.000 0.000 0.019
Ni 0.500 0.500 0.241
Re 0.000 0.000 0.467
Ta 0.500 0.500 0.772

Results
Magnetization   0.0 Bohr magnetons per cell
Electronic total energy   -9.007 eV/atom